1.
# CsNi3Sb5

An optimized crystal structure of CsNi3Sb5 (GGA-PBE, the Open Quantum Materials Database).

Cell and atoms, written as POSCAR:
```
CsNi3Sb5
1.0
5.416 0.000 0.000
-2.708 4.690 0.000
0.000 0.000 9.610
Sb Ni Cs
5 3 1
direct
0.333 0.667 0.280 Sb
0.333 0.667 0.720 Sb
0.000 0.000 0.500 Sb
0.667 0.333 0.720 Sb
0.667 0.333 0.280 Sb
0.000 0.500 0.500 Ni
0.500 0.000 0.500 Ni
0.500 0.500 0.500 Ni
0.000 0.000 0.000 Cs
```

Values from the calculation:
Its electronic total energy is -40.4 eV for the cell shown. As for the symmetry: P6/mmm. The theoretical density is 6.24 g/cm³.

---

2.
# CsNiSbSe3

An optimized crystal structure of CsNiSbSe3 (GGA-PBE, the Open Quantum Materials Database).

Cell and atoms, written as POSCAR:
```
CsNiSbSe3
1.0
1.691 2.389 7.428
-5.317 -1.055 -5.862
-2.149 -10.304 3.804
Cs Se Ni Sb
2 6 2 2
direct
0.234 0.766 0.750 Cs
0.766 0.234 0.250 Cs
0.471 0.529 0.250 Se
0.529 0.471 0.750 Se
0.880 0.120 0.557 Se
0.880 0.120 0.943 Se
0.120 0.880 0.057 Se
0.120 0.880 0.443 Se
0.950 0.050 0.750 Ni
0.050 0.950 0.250 Ni
0.500 0.500 0.000 Sb
0.500 0.500 0.500 Sb
```

Values from the calculation:
Its electronic total energy is -47.6 eV for the cell shown. As for the symmetry: Cmcm. The theoretical density is 5.08 g/cm³.

---

3.
# CsScNi

An optimized crystal structure of CsScNi (GGA-PBE, the Open Quantum Materials Database).

Cell and atoms, written as POSCAR:
```
CsScNi
1.0
0.000 3.341 3.341
3.341 0.000 3.341
3.341 3.341 0.000
Cs Ni Sc
1 1 1
direct
0.000 0.000 0.000 Cs
0.250 0.250 0.250 Ni
0.750 0.750 0.750 Sc
```

Values from the calculation:
As for the symmetry: F-43m. Its energy above the lowest structure with this stoichiometry is 1.080 eV/f.u. The theoretical density is 5.27 g/cm³.

---

4.
# CsScNi

An optimized crystal structure of CsScNi (GGA-PBE, the Open Quantum Materials Database).

Cell and atoms, written as POSCAR:
```
CsScNi
1.0
0.000 3.405 3.405
3.405 0.000 3.405
3.405 3.405 0.000
Cs Ni Sc
1 1 1
direct
0.250 0.250 0.250 Cs
0.750 0.750 0.750 Ni
0.000 0.000 0.000 Sc
```

Values from the calculation:
As for the symmetry: F-43m. Its energy above the lowest structure with this stoichiometry is 0.000 eV/f.u. The theoretical density is 4.98 g/cm³.

---

5.
# CsScNiSe3

An optimized crystal structure of CsScNiSe3 (GGA-PBE, the Open Quantum Materials Database).

Cell and atoms, written as POSCAR:
```
CsScNiSe3
1.0
-7.878 -0.752 -5.305
-0.109 -3.879 0.711
-1.575 1.823 9.702
Sc Ni Se Cs
2 2 6 2
direct
0.331 0.750 0.364 Sc
0.669 0.250 0.636 Sc
0.079 0.250 0.098 Ni
0.921 0.750 0.902 Ni
0.519 0.250 0.344 Se
0.191 0.750 0.052 Se
0.869 0.750 0.646 Se
0.481 0.750 0.656 Se
0.131 0.250 0.354 Se
0.809 0.250 0.948 Se
0.781 0.750 0.253 Cs
0.219 0.250 0.747 Cs
```

Values from the calculation:
Its electronic total energy is -60.0 eV for the cell shown. As for the symmetry: P2_1/m. The theoretical density is 4.62 g/cm³.

---

6.
# CsScNiSe3

An optimized crystal structure of CsScNiSe3 (GGA-PBE, the Open Quantum Materials Database).

Cell and atoms, written as POSCAR:
```
CsScNiSe3
1.0
-6.194 15.141 0.207
-2.165 -0.842 -3.188
-7.820 -3.283 6.180
Cs Ni Se Sc
4 4 12 4
direct
0.264 0.750 0.473 Cs
0.236 0.250 0.973 Cs
0.736 0.250 0.527 Cs
0.764 0.750 0.027 Cs
0.487 0.250 0.409 Ni
0.513 0.750 0.591 Ni
0.013 0.750 0.909 Ni
0.987 0.250 0.091 Ni
0.413 0.750 0.921 Se
0.884 0.250 0.253 Se
0.566 0.750 0.383 Se
0.066 0.750 0.117 Se
0.116 0.750 0.747 Se
0.587 0.250 0.079 Se
0.934 0.250 0.883 Se
0.384 0.250 0.247 Se
0.087 0.250 0.421 Se
0.616 0.750 0.753 Se
0.913 0.750 0.579 Se
0.434 0.250 0.617 Se
0.481 0.750 0.151 Sc
0.019 0.250 0.651 Sc
0.519 0.250 0.849 Sc
0.981 0.750 0.349 Sc
```

Values from the calculation:
Its electronic total energy is -120.1 eV for the cell shown. As for the symmetry: Pnma. The theoretical density is 4.64 g/cm³.

---

7.
# Cs2NiTe2Se

An optimized crystal structure of Cs2NiTe2Se (GGA-PBE, the Open Quantum Materials Database).

Cell and atoms, written as POSCAR:
```
Cs2NiTe2Se
1.0
6.726 -3.751 0.000
6.726 3.751 0.000
-3.918 0.000 9.433
Te Ni Se Cs
4 2 2 4
direct
0.619 0.619 0.393 Te
0.381 0.381 0.607 Te
0.776 0.776 0.257 Te
0.224 0.224 0.743 Te
0.573 0.573 0.128 Ni
0.427 0.427 0.872 Ni
0.249 0.751 0.000 Se
0.751 0.249 0.000 Se
0.305 0.305 0.155 Cs
0.921 0.921 0.661 Cs
0.695 0.695 0.845 Cs
0.079 0.079 0.339 Cs
```

Values from the calculation:
Its electronic total energy is -41.2 eV for the cell shown. As for the symmetry: C2/m. The theoretical density is 4.60 g/cm³.

---

8.
# CsTmNiSe3

An optimized crystal structure of CsTmNiSe3 (GGA-PBE, the Open Quantum Materials Database).

Cell and atoms, written as POSCAR:
```
CsTmNiSe3
1.0
8.058 -2.025 0.000
8.058 2.025 0.000
0.000 0.000 10.690
Se Tm Cs Ni
6 2 2 2
direct
0.385 0.385 0.064 Se
0.615 0.615 0.936 Se
0.385 0.385 0.436 Se
0.949 0.949 0.750 Se
0.615 0.615 0.564 Se
0.051 0.051 0.250 Se
0.000 0.000 0.000 Tm
0.000 0.000 0.500 Tm
0.743 0.743 0.250 Cs
0.257 0.257 0.750 Cs
0.532 0.532 0.750 Ni
0.468 0.468 0.250 Ni
```

Values from the calculation:
As for the symmetry: Cmcm. Its energy above the lowest structure with this stoichiometry is 0.091 eV/f.u. The theoretical density is 5.69 g/cm³.

---

9.
# CsTmNiSe3

An optimized crystal structure of CsTmNiSe3 (GGA-PBE, the Open Quantum Materials Database).

Cell and atoms, written as POSCAR:
```
CsTmNiSe3
1.0
10.812 0.000 0.000
0.000 4.065 0.000
0.000 0.000 15.680
Se Cs Ni Tm
12 4 4 4
direct
0.433 0.750 0.131 Se
0.933 0.750 0.369 Se
0.067 0.250 0.631 Se
0.947 0.250 0.867 Se
0.757 0.750 0.705 Se
0.243 0.250 0.295 Se
0.447 0.250 0.633 Se
0.743 0.250 0.205 Se
0.553 0.750 0.367 Se
0.257 0.750 0.795 Se
0.567 0.250 0.869 Se
0.053 0.750 0.133 Se
0.755 0.750 0.012 Cs
0.245 0.250 0.988 Cs
0.255 0.750 0.488 Cs
0.745 0.250 0.512 Cs
0.243 0.750 0.210 Ni
0.743 0.750 0.290 Ni
0.257 0.250 0.710 Ni
0.757 0.250 0.790 Ni
0.508 0.750 0.752 Tm
0.992 0.250 0.252 Tm
0.008 0.750 0.748 Tm
0.492 0.250 0.248 Tm
```

Values from the calculation:
As for the symmetry: Pnma. Its energy above the lowest structure with this stoichiometry is 0.110 eV/f.u. The theoretical density is 5.76 g/cm³.

---

10.
# CsTmNiSe3

An optimized crystal structure of CsTmNiSe3 (GGA-PBE, the Open Quantum Materials Database).

Cell and atoms, written as POSCAR:
```
CsTmNiSe3
1.0
10.209 0.000 0.000
0.000 4.198 0.000
0.000 0.000 15.308
Se Ni Cs Tm
12 4 4 4
direct
0.293 0.250 0.994 Se
0.207 0.750 0.494 Se
0.767 0.750 0.275 Se
0.959 0.250 0.110 Se
0.541 0.750 0.610 Se
0.233 0.250 0.725 Se
0.267 0.750 0.225 Se
0.459 0.250 0.390 Se
0.041 0.750 0.890 Se
0.733 0.250 0.775 Se
0.707 0.750 0.006 Se
0.793 0.250 0.506 Se
0.849 0.750 0.133 Ni
0.349 0.750 0.367 Ni
0.151 0.250 0.867 Ni
0.651 0.250 0.633 Ni
0.036 0.250 0.339 Cs
0.964 0.750 0.661 Cs
0.464 0.750 0.839 Cs
0.536 0.250 0.161 Cs
0.852 0.250 0.936 Tm
0.352 0.250 0.564 Tm
0.648 0.750 0.436 Tm
0.148 0.750 0.064 Tm
```

Values from the calculation:
As for the symmetry: Pnma. Its energy above the lowest structure with this stoichiometry is 0.729 eV/f.u. The theoretical density is 6.05 g/cm³.

---

11.
# CsTmNiSe3

An optimized crystal structure of CsTmNiSe3 (GGA-PBE, the Open Quantum Materials Database).

Cell and atoms, written as POSCAR:
```
CsTmNiSe3
1.0
9.618 0.000 0.000
0.000 4.086 0.000
-3.861 0.000 9.346
Ni Se Tm Cs
2 6 2 2
direct
0.577 0.250 0.597 Ni
0.423 0.750 0.403 Ni
0.969 0.750 0.159 Se
0.031 0.250 0.841 Se
0.681 0.750 0.550 Se
0.374 0.750 0.151 Se
0.626 0.250 0.849 Se
0.319 0.250 0.450 Se
0.833 0.750 0.861 Tm
0.167 0.250 0.139 Tm
0.291 0.750 0.750 Cs
0.709 0.250 0.250 Cs
```

Values from the calculation:
As for the symmetry: P2_1/m. Its energy above the lowest structure with this stoichiometry is 0.000 eV/f.u. The theoretical density is 5.40 g/cm³.

---

12.
# CsTmNiSe3

An optimized crystal structure of CsTmNiSe3 (GGA-PBE, the Open Quantum Materials Database).

Cell and atoms, written as POSCAR:
```
CsTmNiSe3
1.0
-4.340 -1.841 -9.943
-2.275 -3.028 1.553
-10.960 9.760 2.976
Se Tm Cs Ni
12 4 4 4
direct
0.251 0.750 0.215 Se
0.944 0.250 0.131 Se
0.751 0.750 0.285 Se
0.444 0.250 0.369 Se
0.061 0.250 0.377 Se
0.561 0.250 0.123 Se
0.249 0.250 0.715 Se
0.749 0.250 0.785 Se
0.439 0.750 0.877 Se
0.056 0.750 0.869 Se
0.939 0.750 0.623 Se
0.556 0.750 0.631 Se
0.497 0.250 0.754 Tm
0.503 0.750 0.246 Tm
0.003 0.750 0.254 Tm
0.997 0.250 0.746 Tm
0.257 0.750 0.514 Cs
0.757 0.750 0.986 Cs
0.743 0.250 0.486 Cs
0.243 0.250 0.014 Cs
0.250 0.750 0.795 Ni
0.250 0.250 0.295 Ni
0.750 0.250 0.205 Ni
0.750 0.750 0.705 Ni
```

Values from the calculation:
As for the symmetry: Pnma. Its energy above the lowest structure with this stoichiometry is 0.201 eV/f.u. The theoretical density is 5.88 g/cm³.

---

13.
# CsTmNiSe3

An optimized crystal structure of CsTmNiSe3 (GGA-PBE, the Open Quantum Materials Database).

Cell and atoms, written as POSCAR:
```
CsTmNiSe3
1.0
8.338 -2.128 0.000
8.338 2.128 0.000
-1.527 0.000 9.059
Ni Se Tm Cs
2 6 2 2
direct
0.492 0.492 0.200 Ni
0.508 0.508 0.800 Ni
0.635 0.635 0.260 Se
0.365 0.365 0.740 Se
0.500 0.500 0.500 Se
0.662 0.662 0.864 Se
0.338 0.338 0.136 Se
0.000 0.000 0.000 Se
0.836 0.836 0.925 Tm
0.164 0.164 0.075 Tm
0.157 0.157 0.564 Cs
0.843 0.843 0.436 Cs
```

Values from the calculation:
As for the symmetry: C2/m. Its energy above the lowest structure with this stoichiometry is 1.394 eV/f.u. The theoretical density is 6.17 g/cm³.

---

14.
# CsYNiSe3

An optimized crystal structure of CsYNiSe3 (GGA-PBE, the Open Quantum Materials Database).

Cell and atoms, written as POSCAR:
```
CsYNiSe3
1.0
8.389 -2.167 0.000
8.389 2.167 0.000
-1.527 0.000 9.068
Se Cs Y Ni
6 2 2 2
direct
0.000 0.000 0.500 Se
0.365 0.365 0.235 Se
0.339 0.339 0.637 Se
0.635 0.635 0.765 Se
0.661 0.661 0.363 Se
0.500 0.500 0.000 Se
0.156 0.156 0.066 Cs
0.844 0.844 0.934 Cs
0.164 0.164 0.577 Y
0.836 0.836 0.423 Y
0.492 0.492 0.708 Ni
0.508 0.508 0.292 Ni
```

Values from the calculation:
Its electronic total energy is -58.4 eV for the cell shown. As for the symmetry: C2/m. The theoretical density is 5.21 g/cm³.

---

15.
# CsYNiSe3

An optimized crystal structure of CsYNiSe3 (GGA-PBE, the Open Quantum Materials Database).

Cell and atoms, written as POSCAR:
```
CsYNiSe3
1.0
9.292 0.000 0.000
0.000 4.100 0.000
-4.619 0.000 9.944
Y Se Ni Cs
2 6 2 2
direct
0.314 0.750 0.859 Y
0.686 0.250 0.141 Y
0.805 0.250 0.434 Se
0.533 0.250 0.854 Se
0.195 0.750 0.566 Se
0.915 0.750 0.183 Se
0.085 0.250 0.817 Se
0.467 0.750 0.146 Se
0.922 0.750 0.406 Ni
0.078 0.250 0.594 Ni
0.266 0.250 0.291 Cs
0.734 0.750 0.709 Cs
```

Values from the calculation:
Its electronic total energy is -61.0 eV for the cell shown. As for the symmetry: P2_1/m. The theoretical density is 4.54 g/cm³.

---

16.
# CsZrNiSe3

An optimized crystal structure of CsZrNiSe3 (GGA-PBE, the Open Quantum Materials Database).

Cell and atoms, written as POSCAR:
```
CsZrNiSe3
1.0
-6.868 6.420 1.638
-1.579 -2.367 2.658
8.387 0.686 5.593
Se Ni Zr Cs
6 2 2 2
direct
0.694 0.250 0.042 Se
0.016 0.750 0.351 Se
0.618 0.750 0.354 Se
0.306 0.750 0.958 Se
0.382 0.250 0.646 Se
0.984 0.250 0.649 Se
0.587 0.750 0.100 Ni
0.413 0.250 0.900 Ni
0.196 0.750 0.661 Zr
0.804 0.250 0.339 Zr
0.742 0.750 0.762 Cs
0.258 0.250 0.238 Cs
```

Values from the calculation:
Its electronic total energy is -64.1 eV for the cell shown. As for the symmetry: P2_1/m. The theoretical density is 5.17 g/cm³.

---

17.
# CsSiNi

An optimized crystal structure of CsSiNi (GGA-PBE, the Open Quantum Materials Database).

Cell and atoms, written as POSCAR:
```
CsSiNi
1.0
1.854 2.546 3.676
-1.633 -0.709 4.502
2.814 -2.182 3.280
Cs Si Ni
1 1 1
direct
0.250 0.250 0.250 Cs
0.750 0.750 0.750 Si
0.000 0.000 0.000 Ni
```

Values from the calculation:
Its electronic total energy is -8.5 eV for the cell shown. As for the symmetry: F-43m. The theoretical density is 4.55 g/cm³.

---

18.
# CsSmNi

An optimized crystal structure of CsSmNi (GGA-PBE, the Open Quantum Materials Database).

Cell and atoms, written as POSCAR:
```
CsSmNi
1.0
-2.512 -3.488 -2.653
-4.883 0.691 -1.093
-1.412 0.973 -4.751
Ni Sm Cs
1 1 1
direct
0.750 0.750 0.750 Ni
0.000 0.000 0.000 Sm
0.250 0.250 0.250 Cs
```

Values from the calculation:
As for the symmetry: F-43m. Its energy above the lowest structure with this stoichiometry is 0.000 eV/f.u. The theoretical density is 6.23 g/cm³.

---

19.
# CsSmNi

An optimized crystal structure of CsSmNi (GGA-PBE, the Open Quantum Materials Database).

Cell and atoms, written as POSCAR:
```
CsSmNi
1.0
2.478 1.431 4.047
-2.478 1.431 4.047
0.000 -2.862 4.047
Sm Ni Cs
1 1 1
direct
0.250 0.250 0.250 Sm
0.750 0.750 0.750 Ni
0.000 0.000 0.000 Cs
```

Values from the calculation:
As for the symmetry: F-43m. Its energy above the lowest structure with this stoichiometry is 0.807 eV/f.u. The theoretical density is 6.59 g/cm³.

---

20.
# CsSmNiTe3

An optimized crystal structure of CsSmNiTe3 (GGA-PBE, the Open Quantum Materials Database).

Cell and atoms, written as POSCAR:
```
CsSmNiTe3
1.0
-5.364 4.610 -9.276
1.036 -3.513 -2.345
-14.749 -7.541 4.780
Te Cs Ni Sm
12 4 4 4
direct
0.563 0.250 0.131 Te
0.414 0.250 0.372 Te
0.261 0.250 0.694 Te
0.761 0.250 0.806 Te
0.086 0.750 0.872 Te
0.586 0.750 0.628 Te
0.239 0.750 0.194 Te
0.937 0.750 0.631 Te
0.437 0.750 0.869 Te
0.739 0.750 0.306 Te
0.063 0.250 0.369 Te
0.914 0.250 0.128 Te
0.237 0.750 0.510 Cs
0.737 0.750 0.990 Cs
0.763 0.250 0.490 Cs
0.263 0.250 0.010 Cs
0.240 0.250 0.279 Ni
0.260 0.750 0.779 Ni
0.760 0.750 0.721 Ni
0.740 0.250 0.221 Ni
0.512 0.250 0.748 Sm
0.488 0.750 0.252 Sm
0.012 0.250 0.752 Sm
0.988 0.750 0.248 Sm
```

Values from the calculation:
As for the symmetry: Pnma. Its energy above the lowest structure with this stoichiometry is 0.181 eV/f.u. The theoretical density is 5.50 g/cm³.